# 1
{
  "formula": "FeSbS2N",
  "functional": "PBE",
  "state": "optimized geometry",
  "e_above_lowest_polymorph_mev_per_atom": 0.0,
  "formation_energy_uncorrected_mev_per_atom": 244.7,
  "lattice_angstrom": [[-0.5228, 3.1266, -3.5216], [-4.6353, 0.2840, 0.9403], [0.6092, 2.5997, 2.2177]],
  "species": ["Sb", "S", "S", "Fe", "N"],
  "fractional_positions": [[0.5000, 0.5000, 0.5000], [0.0000, 0.5000, 0.0000], [0.5000, 0.0000, 0.0000], [0.0000, 0.0000, 0.0000], [0.0000, 0.0000, 0.5000]]
}

***

# 2
{
  "formula": "FeSbS2N",
  "functional": "PBE",
  "state": "optimized geometry",
  "e_above_lowest_polymorph_mev_per_atom": 859.6,
  "formation_energy_uncorrected_mev_per_atom": 1104.3,
  "lattice_angstrom": [[5.0543, 0.0000, 0.0000], [0.0000, 5.0543, 0.0000], [0.0000, 0.0000, 3.8736]],
  "species": ["Sb", "S", "S", "Fe", "N"],
  "fractional_positions": [[0.0000, 0.0000, 0.0000], [0.0000, 0.5000, 0.0000], [0.5000, 0.0000, 0.0000], [0.5000, 0.5000, 0.5000], [0.0000, 0.0000, 0.5000]]
}

***

For the records above, the corresponding E values read -5.5884 -4.7288 eV per atom.